Crystalline MgCr2Si2 at its relaxed geometry, computed with PBE.

crystal system: tetragonal
symmetry: P4/mbm (127)
excess energy over the best structure of this formula in the dataset: 0.000 eV per formula unit
formation energy (no corrections): -0.129 eV/atom

Cell and atoms, written as POSCAR:
```
MgCr2Si2
1.0
6.562 0.000 0.000
0.000 6.562 0.000
0.000 0.000 3.055
Mg Cr Si
2 4 4
Cartesian
0.000 0.000 0.000
3.281 3.281 0.000
1.062 2.219 1.528
2.219 5.500 1.528
4.343 1.062 1.528
5.500 4.343 1.528
0.855 4.136 0.000
2.426 0.855 0.000
4.136 5.707 0.000
5.707 2.426 0.000
```

***

Crystalline Mg2CrSi at its relaxed geometry, computed with PBE.

crystal system: orthorhombic
symmetry: Cmmm (65)
formation energy (no corrections): 0.271 eV/atom

Cell and atoms, written as POSCAR:
```
Mg2CrSi
1.0
2.799 -3.973 0.000
2.799 3.973 0.000
0.000 0.000 3.156
Mg Cr Si
2 1 1
Cartesian
1.400 1.986 0.000
1.400 -1.986 0.000
0.000 0.000 1.578
2.799 0.000 1.578
```

***

Crystalline MgCr2Si at its relaxed geometry, computed with PBE.

crystal system: monoclinic
symmetry: C2/m (12)
formation energy (no corrections): 0.235 eV/atom

Cell and atoms, written as POSCAR:
```
MgCr2Si
1.0
4.561 -1.553 0.000
4.561 1.553 0.000
-1.815 0.000 3.710
Mg Cr Si
1 2 1
Cartesian
0.000 0.000 0.000
0.864 0.000 2.730
6.444 0.000 0.980
3.654 0.000 1.855
```

***

Crystalline MgCr2Si at its relaxed geometry, computed with PBE.

crystal system: tetragonal
symmetry: P4/mmm (123)
formation energy (no corrections): 0.100 eV/atom

Cell and atoms, written as POSCAR:
```
MgCr2Si
1.0
3.144 0.000 0.000
0.000 3.144 0.000
0.000 0.000 5.756
Mg Cr Si
1 2 1
Cartesian
0.000 0.000 0.000
1.572 1.572 1.823
1.572 1.572 3.933
0.000 0.000 2.878
```

***

Crystalline Mg2CrSi at its relaxed geometry, computed with PBE.

crystal system: trigonal
symmetry: R-3m (166)
formation energy (no corrections): 0.435 eV/atom

Cell and atoms, written as POSCAR:
```
Mg2CrSi
1.0
1.448 0.836 9.560
-1.448 0.836 9.560
0.000 -1.672 9.560
Mg Cr Si
2 1 1
Cartesian
0.000 0.000 7.088
0.000 0.000 21.592
0.000 0.000 14.340
0.000 0.000 0.000
```

***

Crystalline Mg2CrSi at its relaxed geometry, computed with PBE.

crystal system: tetragonal
symmetry: P4/mmm (123)
formation energy (no corrections): 0.115 eV/atom

Cell and atoms, written as POSCAR:
```
Mg2CrSi
1.0
4.014 0.000 0.000
0.000 4.014 0.000
0.000 0.000 4.160
Mg Cr Si
2 1 1
Cartesian
0.000 2.007 0.000
2.007 0.000 0.000
0.000 0.000 2.080
2.007 2.007 2.080
```

***

Crystalline MgCr2Si at its relaxed geometry, computed with PBE.

crystal system: trigonal
symmetry: R3m (160)
formation energy (no corrections): 0.265 eV/atom

Cell and atoms, written as POSCAR:
```
MgCr2Si
1.0
1.414 0.816 8.302
-1.414 0.816 8.302
0.000 -1.632 8.302
Mg Cr Si
1 2 1
Cartesian
0.000 0.000 0.000
0.000 0.000 12.303
0.000 0.000 18.957
0.000 0.000 5.928
```

***

Crystalline Mg2CrSi at its relaxed geometry, computed with PBE.

crystal system: tetragonal
symmetry: I4/mmm (139)
formation energy (no corrections): 0.196 eV/atom

Cell and atoms, written as POSCAR:
```
Mg2CrSi
1.0
-1.982 1.982 4.345
1.982 -1.982 4.345
1.982 1.982 -4.345
Mg Cr Si
2 1 1
Cartesian
1.982 0.000 2.172
0.000 1.982 2.172
0.000 0.000 0.000
0.000 0.000 4.345
```

***

Crystalline MgCr2Si at its relaxed geometry, computed with PBE.

crystal system: tetragonal
symmetry: P4/mmm (123)
formation energy (no corrections): 0.213 eV/atom

Cell and atoms, written as POSCAR:
```
MgCr2Si
1.0
4.248 0.000 0.000
0.000 4.248 0.000
0.000 0.000 3.122
Mg Cr Si
1 2 1
Cartesian
0.000 0.000 0.000
0.000 2.124 1.561
2.124 0.000 1.561
2.124 2.124 0.000
```

***

Crystalline MgCrSi4 at its relaxed geometry, computed with PBE.

crystal system: cubic
symmetry: F-43m (216)
formation energy (no corrections): 0.325 eV/atom

Cell and atoms, written as POSCAR:
```
MgCrSi4
1.0
0.000 3.575 3.575
3.575 0.000 3.575
3.575 3.575 0.000
Mg Cr Si
1 1 4
Cartesian
0.000 0.000 0.000
5.362 5.362 5.362
2.683 2.683 2.683
4.467 4.467 2.683
4.467 2.683 4.467
2.683 4.467 4.467
```

***

Crystalline Mg4CrSi at its relaxed geometry, computed with PBE.

crystal system: cubic
symmetry: F-43m (216)
formation energy (no corrections): 0.478 eV/atom

Cell and atoms, written as POSCAR:
```
Mg4CrSi
1.0
0.000 3.972 3.972
3.972 0.000 3.972
3.972 3.972 0.000
Mg Cr Si
4 1 1
Cartesian
0.994 0.994 0.994
2.978 2.978 0.994
2.978 0.994 2.978
0.994 2.978 2.978
3.972 3.972 3.972
5.958 5.958 5.958
```

***

Crystalline MgCr2Si at its relaxed geometry, computed with PBE.

crystal system: tetragonal
symmetry: P4mm (99)
formation energy (no corrections): 0.078 eV/atom

Cell and atoms, written as POSCAR:
```
MgCr2Si
1.0
2.990 0.000 0.000
0.000 2.990 0.000
0.000 0.000 6.089
Mg Cr Si
1 2 1
Cartesian
0.000 0.000 0.000
0.000 0.000 3.127
1.495 1.495 4.338
1.495 1.495 1.811
```

***

DOS at the Fermi energy across the listed records, respectively: 0.7, 2.0, 3.6, 3.3, 2.5, 1.6, 4.4, 2.0, 2.1, 2.8, 2.2, 2.4 states/eV per cell.